# 1
Compound: CrP2W
Source: the Alexandria database
Functional: PBE
Structure: relaxed

Its energy is -68.9 eV per cell. Its total magnetization is 0.00 μB/f.u. For the formation energy, the calculation gives -6.10 kcal/mol of atoms. Its polymorph energy (0 for the lowest one) is 0.1846 eV per atom.

It has space group Cm (No. 8), with a = 8.261 Å, b = 3.056 Å, c = 4.277 Å, α = 90.00°, β = 105.92° and γ = 90.00°. Symmetry generates all atoms from Cr at (0.000, 0.000, 0.000), P at (0.012, 0.500, 0.544), P at (0.268, 0.000, 0.881) and W at (0.272, 0.500, 0.384).

# 2
Compound: TaIn2Sb
Source: the Alexandria database
Functional: PBE
Structure: relaxed

Its energy is -60.4 eV per cell. Its total magnetization is 0.00 μB/f.u. The value obtained for the formation energy (no corrections) is 32 kJ/mol of atoms.

It has space group R-3m (No. 166, hexagonal axes), with a = 3.2073 Å, b = 3.2073 Å, c = 31.1804 Å, α = 90.00°, β = 90.00° and γ = 120.00°. Symmetry generates all atoms from Ta at (0.0000, 0.0000, 0.0000), In at (0.0000, 0.0000, 0.2564) and Sb at (0.0000, 0.0000, 0.5000).

# 3
Compound: NbTl2V2Se6
Source: the Alexandria database
Functional: PBE
Structure: relaxed

Its energy is -121.3 eV per cell. Its total magnetization is 0.27 μB/f.u. The value obtained for the formation energy (no corrections) is -59 kJ/mol of atoms.

It has space group C2/m (No. 12), with a = 6.022 Å, b = 10.732 Å, c = 8.456 Å, α = 90.00°, β = 100.57° and γ = 90.00°. Symmetry generates all atoms from Nb at (0.000, 0.000, 0.000), Tl at (0.000, 0.171, 0.500), V at (0.000, 0.369, 0.000), Se at (0.216, 0.500, 0.208) and Se at (0.218, 0.178, 0.175).

# 4
Compound: TiSnP
Source: the Alexandria database
Functional: PBE
Structure: relaxed

Its energy is -72.9 eV per cell. Its total magnetization is 0.00 μB/f.u. For the formation energy, the calculation gives -7.09 kcal/mol of atoms.

It has space group P4_2/m (No. 84), with a = 7.886 Å, b = 7.886 Å, c = 3.731 Å, α = 90.00°, β = 90.00° and γ = 90.00°. Symmetry generates all atoms from Ti at (0.148, 0.797, 0.000), Sn at (0.266, 0.440, 0.000) and P at (0.020, 0.641, 0.500).

# 5
Compound: Dy3Ni2Rh7
Source: the Alexandria database
Functional: PBE
Structure: relaxed

Its energy is -251.1 eV per cell. Its total magnetization is 0.00 μB/f.u. For the formation energy, the calculation gives -13.18 kcal/mol of atoms.

It has space group R-3m (No. 166, hexagonal axes), with a = 5.2546 Å, b = 5.2546 Å, c = 25.4458 Å, α = 90.00°, β = 90.00° and γ = 120.00°. Symmetry generates all atoms from Dy at (0.0000, 0.0000, 0.0000), Dy at (0.0000, 0.0000, 0.1395), Ni at (0.0000, 0.0000, 0.3333), Rh at (0.0000, 0.0000, 0.5000) and Rh at (0.0019, 0.5010, 0.9200).

# 6
Compound: LaNiAg2
Source: the Alexandria database
Functional: PBE
Structure: relaxed

Its energy is -32.5 eV per cell. Its total magnetization is 0.00 μB/f.u. For the formation energy, the calculation gives 0.90 kcal/mol of atoms.

It has space group C2/m (No. 12), with a = 5.566 Å, b = 10.594 Å, c = 4.003 Å, α = 90.00°, β = 133.88° and γ = 90.00°. Symmetry generates all atoms from La at (0.000, 0.000, 0.000), Ni at (0.000, 0.500, 0.000) and Ag at (0.250, 0.250, 0.500).